PBE RbGaPb2, optimized geometry; calculated volume = 36.882 A^3/atom; E_tot = -2.87 eV/atom; formation energy = -20 meV/atom
1.0
2.384 1.376 7.496
-2.384 1.376 7.496
0.000 -2.752 7.496
Rb Ga Pb
1 1 2
Cartesian
0.000 0.000 0.000
0.000 0.000 11.245
0.000 0.000 4.858
0.000 0.000 17.631

PBE Rb3GaPb, optimized geometry; calculated volume = 63.422 A^3/atom; offset from the most stable computed form = 347 meV per atom; E_tot = -1.56 eV/atom; formation energy = 369 meV/atom
1.0
6.819 0.000 0.000
0.000 6.819 0.000
0.000 0.000 6.819
Rb Ga Pb
3 1 1
Cartesian
0.000 0.000 3.410
0.000 3.410 0.000
3.410 0.000 0.000
0.000 0.000 0.000
3.410 3.410 3.410

PBE RbGa3Pb3, optimized geometry; calculated volume = 35.854 A^3/atom; E_tot = -2.96 eV/atom; formation energy = 63 meV/atom
1.0
7.947 0.000 0.000
0.000 7.947 0.000
0.000 0.000 7.947
Rb Ga Pb
2 6 6
Cartesian
0.000 0.000 0.000
3.974 3.974 3.974
0.000 1.987 3.974
0.000 5.961 3.974
1.987 3.974 0.000
3.974 0.000 1.987
3.974 0.000 5.961
5.961 3.974 0.000
0.000 3.974 1.987
0.000 3.974 5.961
1.987 0.000 3.974
3.974 1.987 0.000
3.974 5.961 0.000
5.961 0.000 3.974

PBE RbGaPb4, optimized geometry; calculated volume = 34.895 A^3/atom; offset from the most stable computed form = 122 meV per atom; E_tot = -3.03 eV/atom; formation energy = 107 meV/atom
1.0
0.000 4.713 4.713
4.713 0.000 4.713
4.713 4.713 0.000
Rb Ga Pb
1 1 4
Cartesian
0.000 0.000 0.000
7.069 7.069 7.069
3.538 3.538 3.538
5.887 5.887 3.538
5.887 3.538 5.887
3.538 5.887 5.887

PBE Rb2GaPb2, optimized geometry; calculated volume = 44.066 A^3/atom; offset from the most stable computed form = 0 meV per atom; E_tot = -2.50 eV/atom; formation energy = -27 meV/atom
1.0
-4.019 7.824 3.504
4.019 -7.824 3.504
4.019 7.824 -3.504
Rb Ga Pb
4 2 4
Cartesian
1.457 2.269 0.000
1.457 -2.269 3.504
2.561 10.093 0.000
2.561 5.555 3.504
4.019 0.000 1.752
0.000 7.824 1.752
5.521 1.617 0.000
1.502 6.207 0.000
2.516 1.617 3.504
-1.502 6.207 3.504

PBE RbGaPb2, optimized geometry; calculated volume = 32.706 A^3/atom; E_tot = -2.90 eV/atom; formation energy = -47 meV/atom
1.0
3.939 0.000 0.000
0.000 3.939 0.000
0.000 0.000 8.431
Rb Ga Pb
1 1 2
Cartesian
0.000 0.000 0.000
0.000 0.000 4.215
1.970 1.970 2.676
1.970 1.970 5.755

PBE Rb2GaSb2Pb, optimized geometry; calculated volume = 38.740 A^3/atom; E_tot = -3.12 eV/atom; ΔE_f (raw) = -297 meV/atom
1.0
-3.929 7.948 3.721
3.929 -7.948 3.721
3.929 7.948 -3.721
Rb Ga Sb Pb
4 2 4 2
Cartesian
1.832 2.692 0.000
1.832 -2.692 3.721
2.097 10.641 0.000
2.097 5.256 3.721
0.000 0.000 1.861
0.000 0.000 5.582
6.150 1.410 0.000
2.221 6.538 0.000
1.708 1.410 3.721
-2.221 6.538 3.721
3.929 0.000 1.861
0.000 7.948 1.861

PBE RbGaPb2Se4, optimized geometry; calculated volume = 30.367 A^3/atom; E_tot = -3.65 eV/atom; ΔE_f (raw) = -485 meV/atom
1.0
-4.315 4.448 6.328
4.315 -4.448 6.328
4.315 4.448 -6.328
Rb Ga Pb Se
2 2 4 8
Cartesian
-2.158 2.224 3.164
2.158 2.224 3.164
0.000 0.000 0.000
0.000 4.448 0.000
2.158 2.224 -3.164
2.158 -2.224 3.164
4.315 0.000 0.000
0.000 0.000 6.328
4.315 4.301 -3.916
2.204 2.224 -0.098
6.427 2.224 -0.098
4.315 -0.146 3.916
0.000 4.594 2.412
-2.112 2.224 6.426
2.112 2.224 6.426
0.000 0.146 10.244

PBE Rb2Ga3Sn4Pb, optimized geometry; calculated volume = 30.522 A^3/atom; E_tot = -3.19 eV/atom; formation energy = -121 meV/atom
1.0
5.179 0.000 0.000
0.000 5.179 0.000
0.000 0.000 11.380
Rb Ga Sn Pb
2 3 4 1
Cartesian
0.000 2.589 2.829
2.589 0.000 8.552
0.000 2.589 10.023
2.589 0.000 1.358
2.589 2.589 5.690
0.000 0.000 0.000
0.000 2.589 7.234
2.589 0.000 4.146
2.589 2.589 0.000
0.000 0.000 5.690

PBE Rb2Ga4Sn3Pb, optimized geometry; calculated volume = 29.066 A^3/atom; E_tot = -3.11 eV/atom; formation energy = -138 meV/atom
1.0
5.054 0.000 0.000
0.000 5.054 0.000
0.000 0.000 11.381
Rb Ga Sn Pb
2 4 3 1
Cartesian
0.000 2.527 2.756
2.527 0.000 8.626
0.000 0.000 0.000
0.000 2.527 7.200
2.527 0.000 4.181
2.527 2.527 0.000
0.000 2.527 9.979
2.527 0.000 1.403
2.527 2.527 5.691
0.000 0.000 5.691

PBE RbGa2Sn2Pb, optimized geometry; calculated volume = 32.114 A^3/atom; E_tot = -3.16 eV/atom; formation energy = -34 meV/atom
1.0
4.638 0.000 0.000
-2.319 4.017 0.000
0.000 0.000 10.342
Rb Ga Sn Pb
1 2 2 1
Cartesian
0.000 0.000 0.000
0.000 2.678 7.729
2.319 1.339 2.613
0.000 2.678 3.057
2.319 1.339 7.285
0.000 0.000 5.171

PBE Rb3Ga2Sn9Pb, optimized geometry; calculated volume = 39.124 A^3/atom; E_tot = -3.11 eV/atom; formation energy = 132 meV/atom
1.0
8.676 0.000 0.000
-4.338 7.513 0.000
0.000 0.000 9.003
Rb Ga Sn Pb
3 2 9 1
Cartesian
0.000 0.000 0.000
0.000 5.009 6.001
4.338 2.504 3.002
0.000 5.009 0.446
4.338 2.504 8.557
-2.169 3.757 0.000
0.000 3.174 2.716
-1.589 5.926 2.716
2.749 1.587 6.287
4.338 0.000 0.000
2.169 3.757 0.000
1.589 5.926 2.716
5.927 1.587 6.287
4.338 4.339 6.287
0.000 0.000 4.502

PBE RbTaGa2Pb, optimized geometry; calculated volume = 33.304 A^3/atom; E_tot = -2.37 eV/atom; formation energy = 2142 meV/atom
1.0
5.314 0.000 0.000
0.000 5.314 0.000
0.000 0.000 5.897
Rb Ta Ga Pb
1 1 2 1
Cartesian
0.000 0.000 0.000
2.657 2.657 2.949
0.000 2.657 0.000
2.657 0.000 0.000
0.000 0.000 2.949

PBE RbGa2TcPb, optimized geometry; calculated volume = 26.789 A^3/atom; E_tot = -4.25 eV/atom; formation energy = -35 meV/atom
1.0
5.027 0.000 0.000
0.000 5.027 0.000
0.000 0.000 5.300
Rb Ga Tc Pb
1 2 1 1
Cartesian
0.000 0.000 0.000
0.000 2.513 2.650
2.513 0.000 2.650
2.513 2.513 2.650
2.513 2.513 0.000

PBE RbGaTe4Pb2, optimized geometry; calculated volume = 35.051 A^3/atom; E_tot = -3.30 eV/atom; ΔE_f (raw) = -305 meV/atom
1.0
-4.534 4.761 6.495
4.534 -4.761 6.495
4.534 4.761 -6.495
Rb Ga Te Pb
2 2 8 4
Cartesian
-2.267 2.381 3.247
2.267 2.381 3.247
0.000 0.000 0.000
0.000 4.761 0.000
4.534 4.571 -3.454
2.154 2.381 -0.120
2.380 -2.381 6.375
4.534 -0.190 3.454
0.000 4.951 3.041
2.154 7.142 0.120
2.380 2.381 6.615
0.000 0.190 9.949
2.267 2.381 -3.247
2.267 -2.381 3.247
4.534 0.000 0.000
0.000 0.000 6.495

PBE GaRe3Pb, optimized geometry; calculated volume = 24.829 A^3/atom; offset from the most stable computed form = 1317 meV per atom; E_tot = -5.60 eV/atom; formation energy = 3220 meV/atom
1.0
4.989 0.000 0.000
0.000 4.989 0.000
0.000 0.000 4.989
Ga Re Pb
1 3 1
Cartesian
0.000 0.000 0.000
0.000 2.494 2.494
2.494 0.000 2.494
2.494 2.494 0.000
2.494 2.494 2.494

PBE GaRePb3, optimized geometry; calculated volume = 31.008 A^3/atom; offset from the most stable computed form = 801 meV per atom; E_tot = -3.87 eV/atom; formation energy = 1452 meV/atom
1.0
5.372 0.000 0.000
0.000 5.372 0.000
0.000 0.000 5.372
Ga Re Pb
1 1 3
Cartesian
0.000 0.000 0.000
2.686 2.686 2.686
0.000 0.000 2.686
0.000 2.686 0.000
2.686 0.000 0.000

PBE GaRe3Pb, optimized geometry; calculated volume = 19.813 A^3/atom; offset from the most stable computed form = 0 meV per atom; E_tot = -6.91 eV/atom; formation energy = 1903 meV/atom
1.0
4.627 0.000 0.000
0.000 4.627 0.000
0.000 0.000 4.627
Ga Re Pb
1 3 1
Cartesian
0.000 0.000 0.000
0.000 0.000 2.314
0.000 2.314 0.000
2.314 0.000 0.000
2.314 2.314 2.314

PBE Ga3RePb, optimized geometry; calculated volume = 23.569 A^3/atom; offset from the most stable computed form = 0 meV per atom; E_tot = -4.79 eV/atom; formation energy = 258 meV/atom
1.0
4.903 0.000 0.000
0.000 4.903 0.000
0.000 0.000 4.903
Ga Re Pb
3 1 1
Cartesian
0.000 0.000 2.451
0.000 2.451 0.000
2.451 0.000 0.000
0.000 0.000 0.000
2.451 2.451 2.451

PBE GaRePb3, optimized geometry; calculated volume = 30.867 A^3/atom; offset from the most stable computed form = 0 meV per atom; E_tot = -4.67 eV/atom; formation energy = 650 meV/atom
1.0
5.364 0.000 0.000
0.000 5.364 0.000
0.000 0.000 5.364
Ga Re Pb
1 1 3
Cartesian
0.000 0.000 0.000
2.682 2.682 2.682
0.000 2.682 2.682
2.682 0.000 2.682
2.682 2.682 0.000